Record 1
DyZn2Ag | GGA-PBE | optimized geometry

Output
density = 8.7 g/cm3

The structure in POSCAR format:
```
DyZn2Ag
1.0
6.9566 0.0000 0.0000
0.0000 4.3331 0.0000
0.0000 0.0000 10.1658
Dy Zn Ag
4 8 4
Direct
0.2199 0.2500 0.1728
0.2801 0.7500 0.6728
0.7199 0.2500 0.3272
0.7801 0.7500 0.8272
0.0812 0.2500 0.8526
0.1945 0.7500 0.9628
0.3055 0.2500 0.4628
0.4188 0.7500 0.3526
0.5812 0.2500 0.6474
0.6945 0.7500 0.5372
0.8055 0.2500 0.0372
0.9188 0.7500 0.1474
0.0358 0.7500 0.4018
0.4642 0.2500 0.9018
0.5358 0.7500 0.0982
0.9642 0.2500 0.5982
```

***

Record 2
Dy3Zn2Ag | GGA-PBE | optimized geometry

Output
density = 8.7 g/cm3

The structure in POSCAR format:
```
Dy3Zn2Ag
1.0
3.5841 0.0000 0.0000
0.0000 3.5841 0.0000
0.0000 0.0000 10.7421
Dy Zn Ag
3 2 1
Direct
0.0000 0.0000 0.0000
0.0000 0.0000 0.3261
0.0000 0.0000 0.6739
0.5000 0.5000 0.1610
0.5000 0.5000 0.8390
0.5000 0.5000 0.5000
```

***

Record 3
DyZnAg4 | GGA-PBE | optimized geometry

Output
density = 9.1 g/cm3

The structure in POSCAR format:
```
DyZnAg4
1.0
2.7710 1.5998 4.5145
-2.7710 1.5998 4.5145
0.0000 -3.1996 4.5145
Dy Zn Ag
1 1 4
Direct
0.0000 0.0000 0.0000
0.7487 0.7487 0.7487
0.3761 0.3761 0.3761
0.3760 0.3760 0.8747
0.3760 0.8747 0.3760
0.8747 0.3760 0.3760
```

***

Record 4
DyZn6Ag6 | GGA-PBE | optimized geometry

Output
density = 9.0 g/cm3

The structure in POSCAR format:
```
DyZn6Ag6
1.0
-2.5831 4.6284 4.6623
2.5831 -4.6284 4.6623
2.5831 4.6284 -4.6623
Dy Zn Ag
1 6 6
Direct
0.0000 0.0000 0.0000
0.0000 0.0000 0.5000
0.0000 0.5000 0.0000
0.2270 0.7270 0.5000
0.5000 0.0000 0.0000
0.5000 0.5000 0.5000
0.7730 0.2730 0.5000
0.1947 0.5000 0.6947
0.3457 0.3457 0.0000
0.3470 0.0000 0.3470
0.6530 0.0000 0.6530
0.6543 0.6543 0.0000
0.8053 0.5000 0.3053
```

***

Record 5
DyZr2Ag3 | GGA-PBE | optimized geometry

Output
density = 8.2 g/cm3

The structure in POSCAR format:
```
DyZr2Ag3
1.0
5.6153 0.0000 0.0000
-2.8077 4.8630 0.0000
0.0000 0.0000 4.9684
Dy Zr Ag
1 2 3
Direct
0.0000 0.0000 0.0000
0.3333 0.6667 0.0000
0.6667 0.3333 0.0000
0.0000 0.5000 0.5000
0.5000 0.0000 0.5000
0.5000 0.5000 0.5000
```

***

Record 6
DyZrAg6 | GGA-PBE | optimized geometry

Output
density = 9.7 g/cm3

The structure in POSCAR format:
```
DyZrAg6
1.0
4.9420 0.0000 0.0000
0.0000 6.1554 0.0000
0.0000 0.0000 5.0816
Dy Zr Ag
1 1 6
Direct
0.0000 0.0000 0.0000
0.5000 0.5000 0.3151
0.0000 0.2632 0.4942
0.0000 0.5000 0.9902
0.0000 0.7368 0.4942
0.5000 0.0000 0.3422
0.5000 0.2550 0.8201
0.5000 0.7450 0.8201
```

***

Number 1: ΔH_f (0 K) -0.339 eV per atom, DFT total energy -45.24 eV/cell. Number 2: ΔH_f (0 K) -0.350 eV per atom, DFT total energy -21.26 eV/cell. Number 3: ΔH_f (0 K) -0.130 eV per atom, DFT total energy -17.94 eV/cell. Number 4: ΔH_f (0 K) -0.168 eV per atom, DFT total energy -31.31 eV/cell. Number 5: ΔH_f (0 K) 0.108 eV per atom, DFT total energy -29.52 eV/cell. Number 6: ΔH_f (0 K) -0.156 eV per atom, DFT total energy -31.34 eV/cell.